[1]
Density functional theory data (PBE) for a relaxed SmHo6Tm5 crystal.

Computed properties:
ΔE_f: 0.022 eV/atom
E_tot: -4.523 eV/atom

abc: 6.090 10.538 11.655
angles: 90.00 100.01 90.00
Space group C2/m (No. 12)
Asymmetric unit:
Sm 0.000 0.000 0.000 (multiplicity 2)
Ho 0.249 0.500 0.251 (multiplicity 4)
Ho 0.250 0.167 0.252 (multiplicity 8)
Tm 0.000 0.167 0.500 (multiplicity 4)
Tm 0.000 0.333 0.000 (multiplicity 4)
Tm 0.000 0.500 0.500 (multiplicity 2)

[2]
Density functional theory data (PBE) for a relaxed UCoOs2 crystal.

Computed properties:
ΔE_f: -0.182 eV/atom
E_tot: -10.395 eV/atom

abc: 3.970 3.970 3.916
angles: 90.00 90.00 90.00
Space group P4/mmm (No. 123)
Asymmetric unit:
U 0.000 0.000 0.000 (multiplicity 1)
Co 0.500 0.500 0.000 (multiplicity 1)
Os 0.000 0.500 0.500 (multiplicity 2)

[3]
Density functional theory data (PBE) for a relaxed Mg12TlHg3 crystal.

Computed properties:
ΔE_f: -0.114 eV/atom
E_tot: -1.514 eV/atom

abc: 4.506 4.506 17.256
angles: 90.00 90.00 90.00
Space group P4/mmm (No. 123)
Asymmetric unit:
Mg 0.000 0.000 0.000 (multiplicity 1)
Mg 0.000 0.000 0.245 (multiplicity 2)
Mg 0.000 0.000 0.500 (multiplicity 1)
Mg 0.000 0.500 0.122 (multiplicity 4)
Mg 0.000 0.500 0.368 (multiplicity 4)
Tl 0.500 0.500 0.500 (multiplicity 1)
Hg 0.500 0.500 0.000 (multiplicity 1)
Hg 0.500 0.500 0.246 (multiplicity 2)

[4]
Density functional theory data (PBE) for a relaxed Mg3ZnGa7 crystal.

Computed properties:
ΔE_f: -0.027 eV/atom
E_tot: -2.504 eV/atom

abc: 2.988 21.805 13.180
angles: 90.00 90.00 90.00
Space group Cmcm (No. 63)
Asymmetric unit:
Mg 0.000 0.093 0.080 (multiplicity 8)
Mg 0.000 0.212 0.750 (multiplicity 4)
Zn 0.000 0.071 0.750 (multiplicity 4)
Ga 0.000 0.284 0.571 (multiplicity 8)
Ga 0.000 0.349 0.750 (multiplicity 4)
Ga 0.000 0.355 0.101 (multiplicity 8)
Ga 0.000 0.481 0.099 (multiplicity 8)

[5]
Density functional theory data (PBE) for a relaxed AlRe2Mo crystal.

Computed properties:
ΔE_f: -0.138 eV/atom
E_tot: -10.006 eV/atom

abc: 3.139 4.300 8.812
angles: 90.00 90.00 90.00
Space group Imm2 (No. 44)
Asymmetric unit:
Al 0.000 0.000 0.000 (multiplicity 2)
Re 0.000 0.000 0.503 (multiplicity 2)
Re 0.000 0.500 0.249 (multiplicity 2)
Mo 0.000 0.500 0.756 (multiplicity 2)

[6]
Density functional theory data (PBE) for a relaxed SrMnAu2 crystal.

Computed properties:
ΔE_f: -0.215 eV/atom
E_tot: -4.566 eV/atom

abc: 3.989 4.873 5.286
angles: 90.00 90.76 90.00
Space group Pm (No. 6)
Asymmetric unit:
Sr 0.000 0.000 0.000 (multiplicity 1)
Mn 0.489 0.500 0.677 (multiplicity 1)
Au 0.503 0.500 0.174 (multiplicity 1)
Au 0.504 0.000 0.491 (multiplicity 1)

[7]
Density functional theory data (PBE) for a relaxed Pd4Pt2Au3 crystal.

Computed properties:
ΔE_f: 0.109 eV/atom
E_tot: -4.633 eV/atom

abc: 12.697 9.485 5.110
angles: 90.00 98.95 90.00
Space group C2/c (No. 15)
Asymmetric unit:
Pd 0.063 0.242 0.002 (multiplicity 8)
Pd 0.170 0.345 0.568 (multiplicity 8)
Pt 0.242 0.383 0.092 (multiplicity 8)
Au 0.000 0.490 0.250 (multiplicity 4)
Au 0.101 0.068 0.461 (multiplicity 8)

[8]
Density functional theory data (PBE) for a relaxed NpUSb2 crystal.

Computed properties:
energy relative to the elements, uncorrected: -0.196 eV per atom
E_tot: -8.314 eV/atom

abc: 7.444 7.444 7.444
angles: 90.00 90.00 90.00
Space group Fm-3m (No. 225)
Asymmetric unit:
Np 0.000 0.000 0.000 (multiplicity 4)
U 0.000 0.000 0.500 (multiplicity 4)
Sb 0.250 0.250 0.250 (multiplicity 8)

[9]
Density functional theory data (PBE) for a relaxed Ga3OsCl crystal.

Computed properties:
energy relative to the elements, uncorrected: -0.159 eV per atom
E_tot: -4.590 eV/atom

abc: 4.852 4.852 4.852
angles: 90.00 90.00 90.00
Space group Pm-3m (No. 221)
Asymmetric unit:
Ga 0.000 0.000 0.500 (multiplicity 3)
Os 0.000 0.000 0.000 (multiplicity 1)
Cl 0.500 0.500 0.500 (multiplicity 1)

[10]
Density functional theory data (PBE) for a relaxed LaPmMgAl crystal.

Computed properties:
ΔE_f: -0.255 eV/atom
E_tot: -4.009 eV/atom

abc: 7.637 7.637 7.637
angles: 90.00 90.00 90.00
Space group F-43m (No. 216)
Asymmetric unit:
La 0.000 0.000 0.000 (multiplicity 4)
Pm 0.000 0.000 0.500 (multiplicity 4)
Mg 0.250 0.250 0.250 (multiplicity 4)
Al 0.250 0.250 0.750 (multiplicity 4)

[11]
Density functional theory data (PBE) for a relaxed U2VCo crystal.

Computed properties:
ΔE_f: 0.343 eV/atom
E_tot: -9.357 eV/atom

abc: 4.4515 4.4515 12.2550
angles: 90.00 90.00 120.00
Space group R-3m (No. 166, hexagonal axes)
Asymmetric unit:
U 0.0000 0.0000 0.2451 (multiplicity 6)
V 0.0000 0.0000 0.0000 (multiplicity 3)
Co 0.0000 0.0000 0.5000 (multiplicity 3)

[12]
Density functional theory data (PBE) for a relaxed Er4TlCdAg2 crystal.

Computed properties:
ΔE_f: -0.324 eV/atom
E_tot: -3.728 eV/atom

abc: 5.1918 5.1918 25.5576
angles: 90.00 90.00 120.00
Space group R-3m (No. 166, hexagonal axes)
Asymmetric unit:
Er 0.0000 0.0000 0.1240 (multiplicity 6)
Er 0.0000 0.0000 0.3744 (multiplicity 6)
Tl 0.0000 0.0000 0.5000 (multiplicity 3)
Cd 0.0000 0.0000 0.0000 (multiplicity 3)
Ag 0.0000 0.0000 0.2535 (multiplicity 6)

[13]
Density functional theory data (PBE) for a relaxed SbAs2SeS crystal.

Computed properties:
energy relative to the elements, uncorrected: 1.165 eV per atom
E_tot: -3.042 eV/atom

abc: 5.390 5.390 5.097
angles: 90.00 90.00 90.00
Space group P4/mmm (No. 123)
Asymmetric unit:
Sb 0.000 0.000 0.000 (multiplicity 1)
As 0.000 0.500 0.000 (multiplicity 2)
Se 0.000 0.000 0.500 (multiplicity 1)
S 0.500 0.500 0.500 (multiplicity 1)

[14]
Density functional theory data (PBE) for a relaxed InRhPb2 crystal.

Computed properties:
ΔE_f: 0.022 eV/atom
E_tot: -4.354 eV/atom

abc: 3.259 4.708 13.141
angles: 90.00 90.00 90.00
Space group Imm2 (No. 44)
Asymmetric unit:
In 0.000 0.000 0.000 (multiplicity 2)
Rh 0.000 0.500 0.678 (multiplicity 2)
Pb 0.000 0.000 0.370 (multiplicity 2)
Pb 0.000 0.500 0.183 (multiplicity 2)

[15]
Density functional theory data (PBE) for a relaxed MgBiRh3 crystal.

Computed properties:
ΔE_f: 0.703 eV/atom
E_tot: -4.803 eV/atom

abc: 4.575 4.575 4.575
angles: 90.00 90.00 90.00
Space group Pm-3m (No. 221)
Asymmetric unit:
Mg 0.000 0.000 0.000 (multiplicity 1)
Bi 0.500 0.500 0.500 (multiplicity 1)
Rh 0.000 0.000 0.500 (multiplicity 3)

[16]
Density functional theory data (PBE) for a relaxed In12Sn2Pb crystal.

Computed properties:
ΔE_f: 0.106 eV/atom
E_tot: -2.866 eV/atom

abc: 6.438 6.438 21.761
angles: 90.00 90.00 90.00
Space group P4/nbm (No. 125, origin choice 2)
Asymmetric unit:
In 0.001 0.501 0.110 (multiplicity 8)
In 0.077 0.577 0.563 (multiplicity 8)
In 0.250 0.250 0.213 (multiplicity 4)
In 0.250 0.250 0.346 (multiplicity 4)
Sn 0.250 0.750 0.229 (multiplicity 4)
Pb 0.250 0.750 0.000 (multiplicity 2)

[17]
Density functional theory data (PBE) for a relaxed MnInSbTe2 crystal.

Computed properties:
energy relative to the elements, uncorrected: 0.872 eV per atom
E_tot: -3.591 eV/atom

abc: 5.678 5.678 5.610
angles: 90.00 90.00 90.00
Space group P4/mmm (No. 123)
Asymmetric unit:
Mn 0.000 0.000 0.000 (multiplicity 1)
In 0.500 0.500 0.500 (multiplicity 1)
Sb 0.500 0.500 0.000 (multiplicity 1)
Te 0.000 0.500 0.500 (multiplicity 2)

[18]
Density functional theory data (PBE) for a relaxed B2AuN2 crystal.

Computed properties:
energy relative to the elements, uncorrected: 0.634 eV per atom
E_tot: -6.022 eV/atom

abc: 3.129 3.129 11.109
angles: 90.00 90.00 90.00
Space group I4/mmm (No. 139)
Asymmetric unit:
B 0.000 0.000 0.206 (multiplicity 4)
Au 0.000 0.000 0.000 (multiplicity 2)
N 0.000 0.500 0.250 (multiplicity 4)

[19]
Density functional theory data (PBE) for a relaxed Pr7Sm2Er crystal.

Computed properties:
ΔE_f: 0.169 eV/atom
E_tot: -4.577 eV/atom

abc: 6.740 30.009 3.482
angles: 90.00 90.00 90.00
Space group Cmmm (No. 65)
Asymmetric unit:
Pr 0.000 0.000 0.000 (multiplicity 2)
Pr 0.000 0.190 0.500 (multiplicity 4)
Pr 0.241 0.401 0.000 (multiplicity 8)
Sm 0.000 0.293 0.000 (multiplicity 4)
Er 0.000 0.500 0.500 (multiplicity 2)

[20]
Density functional theory data (PBE) for a relaxed Sr2HgPbCl crystal.

Computed properties:
energy relative to the elements, uncorrected: -0.486 eV per atom
E_tot: -2.330 eV/atom

abc: 6.444 6.444 5.790
angles: 90.00 90.00 90.00
Space group P4/mmm (No. 123)
Asymmetric unit:
Sr 0.000 0.500 0.000 (multiplicity 2)
Hg 0.000 0.000 0.500 (multiplicity 1)
Pb 0.000 0.000 0.000 (multiplicity 1)
Cl 0.500 0.500 0.500 (multiplicity 1)

[21]
Density functional theory data (PBE) for a relaxed YIClO2 crystal.

Computed properties:
energy relative to the elements, uncorrected: -1.108 eV per atom
E_tot: -5.063 eV/atom

abc: 4.319 4.319 6.963
angles: 90.00 90.00 90.00
Space group P4/mmm (No. 123)
Asymmetric unit:
Y 0.000 0.000 0.000 (multiplicity 1)
I 0.000 0.000 0.500 (multiplicity 1)
Cl 0.500 0.500 0.500 (multiplicity 1)
O 0.000 0.500 0.000 (multiplicity 2)

[22]
Density functional theory data (PBE) for a relaxed Nd2Sm2Tl crystal.

Computed properties:
ΔE_f: -0.077 eV/atom
E_tot: -4.345 eV/atom

abc: 8.713 9.562 8.689
angles: 90.00 115.77 90.00
Space group C2/m (No. 12)
Asymmetric unit:
Nd 0.157 0.000 0.425 (multiplicity 4)
Nd 0.220 0.500 0.112 (multiplicity 4)
Sm 0.075 0.315 0.715 (multiplicity 8)
Tl 0.000 0.169 0.000 (multiplicity 4)

[23]
Density functional theory data (PBE) for a relaxed NdY6Ag crystal.

Computed properties:
ΔE_f: 0.033 eV/atom
E_tot: -5.767 eV/atom

abc: 9.4312 9.4312 9.7388
angles: 90.00 90.00 120.00
Space group R-3 (No. 148, hexagonal axes)
Asymmetric unit:
Nd 0.0000 0.0000 0.0000 (multiplicity 3)
Y 0.0305 0.2528 0.7047 (multiplicity 18)
Ag 0.0000 0.0000 0.5000 (multiplicity 3)

[24]
Density functional theory data (PBE) for a relaxed Ho6Sn2SbTe3 crystal.

Computed properties:
energy relative to the elements, uncorrected: -1.104 eV per atom
E_tot: -5.189 eV/atom

abc: 19.051 4.374 8.752
angles: 90.00 103.24 90.00
Space group C2/m (No. 12)
Asymmetric unit:
Ho 0.005 0.000 0.245 (multiplicity 4)
Ho 0.165 0.500 0.093 (multiplicity 4)
Ho 0.170 0.500 0.575 (multiplicity 4)
Sn 0.167 0.000 0.333 (multiplicity 4)
Sb 0.000 0.500 0.000 (multiplicity 2)
Te 0.000 0.500 0.500 (multiplicity 2)
Te 0.165 0.000 0.834 (multiplicity 4)